The following is a PBE calculation of an optimized crystal structure of Bi2SbPd4, from Alexandria.

Its symmetry is Cmmm (65). The density of states at the Fermi level is 4.46 states/eV per cell.

a = 10.8520 Å, b = 10.8520 Å, c = 3.2791 Å
α = 90.00°, β = 90.00°, γ = 156.07°
Fractional positions:
Bi1 0.1840 0.8160 0.0000
Bi2 0.8160 0.1840 0.0000
Sb1 0.5000 0.5000 0.5000
Pd1 0.0713 0.9287 0.5000
Pd2 0.3955 0.6045 0.0000
Pd3 0.6045 0.3955 0.0000
Pd4 0.9287 0.0713 0.5000



The following is a PBE calculation of an optimized crystal structure of BiSb3Pd12, from Alexandria.

Its symmetry is P4/mmm (123). The density of states at the Fermi level is 12.52 states/eV per cell.

a = 4.0833 Å, b = 4.0833 Å, c = 16.2838 Å
α = 90.00°, β = 90.00°, γ = 90.00°
Fractional positions:
Bi1 0.0000 0.0000 0.0000
Sb1 0.0000 0.0000 0.2526
Sb2 0.0000 0.0000 0.5000
Sb3 0.0000 0.0000 0.7474
Pd1 0.0000 0.5000 0.1312
Pd2 0.0000 0.5000 0.3765
Pd3 0.0000 0.5000 0.6235
Pd4 0.0000 0.5000 0.8688
Pd5 0.5000 0.0000 0.1312
Pd6 0.5000 0.0000 0.3765
Pd7 0.5000 0.0000 0.6235
Pd8 0.5000 0.0000 0.8688
Pd9 0.5000 0.5000 0.0000
Pd10 0.5000 0.5000 0.2538
Pd11 0.5000 0.5000 0.5000
Pd12 0.5000 0.5000 0.7462



The following is a PBE calculation of an optimized crystal structure of BiSb2Pd8, from Alexandria.

Its symmetry is P-1 (2). The density of states at the Fermi level is 3.97 states/eV per cell.

a = 4.9606 Å, b = 5.8028 Å, c = 7.6565 Å
α = 108.34°, β = 105.94°, γ = 97.03°
Fractional positions:
Bi1 0.0000 0.0000 0.0000
Sb1 0.2941 0.3593 0.6822
Sb2 0.7059 0.6407 0.3178
Pd1 0.1962 0.9491 0.3807
Pd2 0.2055 0.4532 0.3542
Pd3 0.2734 0.6270 0.0284
Pd4 0.3684 0.8721 0.7589
Pd5 0.6316 0.1279 0.2411
Pd6 0.7266 0.3730 0.9716
Pd7 0.7945 0.5468 0.6458
Pd8 0.8038 0.0509 0.6193



The following is a PBE calculation of an optimized crystal structure of BiSbPd3, from Alexandria.

Its symmetry is Pm-3m (221). The density of states at the Fermi level is 2.91 states/eV per cell.

a = 5.0501 Å, b = 5.0501 Å, c = 5.0501 Å
α = 90.00°, β = 90.00°, γ = 90.00°
Fractional positions:
Bi1 0.0000 0.0000 0.0000
Sb1 0.5000 0.5000 0.5000
Pd1 0.0000 0.0000 0.5000
Pd2 0.0000 0.5000 0.0000
Pd3 0.5000 0.0000 0.0000



Energy relative to the elements, uncorrected per entry: -0.235; -0.326; -0.373; 0.554 eV per atom
Density per entry: 10.24; 11.32; 11.06; 8.38 g/cm3